Record 1
MnFeW2: relaxed, PBEsol.

Properties
Calculated total energy = -11.4204 eV per atom
Volume = 53.58 Å³/cell
Excess energy over the best structure of this formula in the dataset = 3.40 kJ per mole of atoms
Calculated formation energy = 0.658 eV/f.u.
N(E_F) = 3.54 states/eV/cell

a = 2.620 Å, b = 4.255 Å, c = 4.865 Å
α = 90.00°, β = 98.98°, γ = 90.00°
Site moments in Bohr magnetons follow the coordinates.
Positions (direct):
1 Fe 0.477 0.000 0.496  1.97
2 Mn 0.273 0.500 0.755  1.72
3 W 0.997 0.000 0.981  -0.10
4 W 0.753 0.500 0.268  -0.09

---

Record 2
Mn2FeW: relaxed, PBEsol.

Properties
Calculated total energy = -10.4831 eV per atom
Volume = 47.76 Å³/cell
Calculated formation energy = 0.361 eV/f.u.
N(E_F) = 2.91 states/eV/cell

a = 3.030 Å, b = 3.970 Å, c = 3.970 Å
α = 90.00°, β = 90.00°, γ = 90.00°
Site moments in Bohr magnetons follow the coordinates.
Positions (direct):
1 Mn 0.000 0.000 0.500  1.09
2 Mn 0.000 0.500 0.000  1.09
3 Fe 0.500 0.000 0.000  2.08
4 W 0.500 0.500 0.500  -0.33